Entry 1:
Density functional theory data (PBE) for a geometry-optimized Ho8P3RhSe4 structure.

Cell: 8.0388 8.0388 19.9914 Å, 90.00 90.00 120.00°
With the nearest neighbours (Å) after each atom.
Space group R-3m (No. 166, hexagonal axes)
One atom of each set of equivalent atoms:
1 Ho 0.0000 0.0000 0.2429 x6  3 P 2.78, 3 Se 2.94
2 Ho 0.0021 0.5010 0.2429 x18  1 Rh 2.76, 2 P 2.78, 3 Se 2.94-2.95
3 P 0.0000 0.5000 0.5000 x9  6 Ho 2.78
4 Rh 0.0000 0.0000 0.5000 x3  6 Ho 2.76
5 Se 0.0000 0.0000 0.0000 x3  6 Ho 2.95
6 Se 0.0000 0.5000 0.0000 x9  6 Ho 2.94

Values from the calculation:
Formation energy from raw total energies (eV per atom): -1.611
E (eV/f.u.): -99.9
Total moment (μB/atom): 0.00



Entry 2:
Density functional theory data (PBE) for a geometry-optimized Ho6PRh2Se3 structure.

Cell: 6.9284 12.0165 7.2232 Å, 90.00 108.84 90.00°
With the nearest neighbours (Å) after each atom.
Space group C2/m (No. 12)
One atom of each set of equivalent atoms:
1 Ho 0.2395 0.0000 0.2280 x4  2 Rh 2.78, 1 P 2.81, 3 Se 2.95
2 Ho 0.2432 0.3311 0.2267 x8  2 Rh 2.76-2.78, 1 P 2.80, 3 Se 2.97-2.99
3 P 0.0000 0.5000 0.0000 x2  6 Ho 2.80-2.81
4 Rh 0.0000 0.1667 0.0000 x4  6 Ho 2.76-2.78
5 Se 0.0000 0.0000 0.5000 x2  6 Ho 2.95-2.99
6 Se 0.0000 0.3360 0.5000 x4  6 Ho 2.95-2.98

Values from the calculation:
Formation energy from raw total energies (eV per atom): -1.383
E (eV/f.u.): -74.6
Total moment (μB/atom): 0.00



Entry 3:
Density functional theory data (PBE) for a geometry-optimized Ho2SiPRh6 structure.

Cell: 5.7787 8.5802 7.1468 Å, 90.00 90.00 90.00°
With the nearest neighbours (Å) after each atom.
Space group Pmmn (No. 59, origin choice 2)
One atom of each set of equivalent atoms:
1 Ho 0.2500 0.0195 0.2302 x4  9 Rh 2.94-3.15
2 Si 0.2500 0.7500 0.7796 x2  6 Rh 2.32-2.43
3 P 0.2500 0.2500 0.7339 x2  6 Rh 2.21-2.26
4 Rh 0.0082 0.7500 0.0385 x4  1 P 2.21, 1 Si 2.32
5 Rh 0.0117 0.7500 0.4992 x4  1 P 2.25, 1 Si 2.43
6 Rh 0.2500 0.5012 0.6402 x4  1 P 2.26, 1 Si 2.36

Values from the calculation:
Formation energy from raw total energies (eV per atom): -0.723
E (eV/f.u.): -71.3
Total moment (μB/atom): 0.00



Look up the E of the third one. -71.3 eV/f.u.



Number 1 is which compound? Ho8P3RhSe4



Look up the E of the first one. -99.9 eV/f.u.



total moment of number 3 (Ho2SiPRh6)? 0.00 μB/atom